# 1
VASP calculation (PBE) on a relaxed structure of LaH2Rh.

abc: 4.4952 4.4952 4.4952
angles: 56.70 56.70 56.70
Fractional coordinates of all 4 atoms:
1 La 0.0000 0.0000 0.0000
2 H 0.3504 0.3504 0.3504
3 H 0.6496 0.6496 0.6496
4 Rh 0.5000 0.5000 0.5000

Output
- magnetization (μB per formula unit) = 0.000
- density (g/cm³) = 6.823
- calculated total energy (Ry per atom) = -0.3894


# 2
VASP calculation (PBE) on a relaxed structure of Li2NbV2S6.

abc: 5.8171 5.8171 6.5803
angles: 97.14 97.14 120.88
Fractional coordinates of all 11 atoms:
1 Li 0.1705 0.8295 0.0000
2 Li 0.8295 0.1705 0.0000
3 Nb 0.0000 0.0000 0.5000
4 V 0.3643 0.6357 0.5000
5 V 0.6357 0.3643 0.5000
6 S 0.0618 0.4146 0.7207
7 S 0.2677 0.2677 0.2484
8 S 0.4146 0.0618 0.7207
9 S 0.5854 0.9382 0.2793
10 S 0.7323 0.7323 0.7516
11 S 0.9382 0.5854 0.2793

Output
- magnetization (μB per formula unit) = 0.001
- density (g/cm³) = 3.601
- ΔE_f (raw) (eV per atom) = -1.069
- calculated total energy (Ry per atom) = -0.4588